Record 1
Entry from the Alexandria database: crystalline Li2PmCdAg4 at its relaxed geometry (PBE-GGA).

a = 4.863 Å, b = 4.863 Å, c = 8.346 Å
α = 73.06°, β = 73.06°, γ = 60.00°
Atoms (fractional coordinates):
Ag 0.382 0.382 0.854
Cd 0.500 0.500 0.500
Ag 0.869 0.869 0.394
Li 0.247 0.247 0.258
Li 0.753 0.753 0.742
Ag 0.618 0.618 0.146
Ag 0.131 0.131 0.606
Pm 0.000 0.000 0.000

Energy of formation from the pure elements   -1.20 eV/f.u.
SG   R-3m, No. 166
Total moment   0.000 μB/cell
Crystal system   trigonal

---

Record 2
Entry from the Alexandria database: crystalline LiPmCd2Ag4 at its relaxed geometry (PBE-GGA).

a = 4.853 Å, b = 4.853 Å, c = 8.475 Å
α = 73.36°, β = 73.36°, γ = 60.00°
Atoms (fractional coordinates):
Pm 0.000 0.000 0.000
Ag 0.869 0.869 0.392
Li 0.500 0.500 0.500
Ag 0.391 0.391 0.828
Cd 0.749 0.749 0.753
Ag 0.131 0.131 0.608
Cd 0.251 0.251 0.247
Ag 0.609 0.609 0.172

Energy of formation from the pure elements   -1.67 eV/f.u.
SG   R-3m, No. 166
Total moment   0.000 μB/cell
Crystal system   trigonal

---

Record 3
Entry from the Alexandria database: crystalline LiPmCdAg at its relaxed geometry (PBE-GGA).

a = 4.985 Å, b = 4.985 Å, c = 4.985 Å
α = 60.00°, β = 60.00°, γ = 60.00°
Atoms (fractional coordinates):
Ag 0.500 0.500 0.500
Pm 0.250 0.250 0.250
Cd 0.750 0.750 0.750
Li 0.000 0.000 0.000

Energy of formation from the pure elements   -0.88 eV/f.u.
SG   F-43m, No. 216
Total moment   0.003 μB/cell
Crystal system   cubic

---

Record 4
Entry from the Alexandria database: crystalline Li2PrCdAg at its relaxed geometry (PBE-GGA).

a = 3.872 Å, b = 4.547 Å, c = 7.064 Å
α = 108.77°, β = 105.91°, γ = 90.00°
Atoms (fractional coordinates):
Cd 0.172 0.672 0.344
Pr 0.439 0.439 0.878
Li 0.708 0.208 0.415
Ag 0.842 0.842 0.684
Li 0.052 0.052 0.103

Energy of formation from the pure elements   -0.75 eV/f.u.
SG   Imm2, No. 44
Total moment   0.000 μB/cell
Crystal system   orthorhombic